Entry 1:
{
  "formula": "Ce2FeRh",
  "functional": "GGA-PBE",
  "state": "relaxed",
  "sg": "R-3m, No. 166",
  "relative_energy_mev_per_atom": 454,
  "delta_e_f_mev_per_atom": 184,
  "lattice_angstrom": [[1.776, 1.025, 8.242], [-1.776, 1.025, 8.242], [0.000, -2.051, 8.242]],
  "species": ["Ce", "Ce", "Fe", "Rh"],
  "fractional_positions": [[0.100, 0.100, 0.100], [0.900, 0.900, 0.900], [0.500, 0.500, 0.500], [0.000, 0.000, 0.000]]
}

Entry 2:
{
  "formula": "CeFeRh2",
  "functional": "GGA-PBE",
  "state": "relaxed",
  "sg": "P4/mmm, No. 123",
  "delta_e_f_mev_per_atom": -398,
  "lattice_angstrom": [[4.231, 0.000, 0.000], [0.000, 4.231, 0.000], [0.000, 0.000, 3.743]],
  "species": ["Ce", "Fe", "Rh", "Rh"],
  "fractional_positions": [[0.000, 0.000, 0.000], [0.500, 0.500, 0.000], [0.000, 0.500, 0.500], [0.500, 0.000, 0.500]]
}

Entry 3:
{
  "formula": "Ce8FeRh5",
  "functional": "GGA-PBE",
  "state": "relaxed",
  "sg": "I-4, No. 82",
  "delta_e_f_mev_per_atom": -546,
  "lattice_angstrom": [[-4.274, 4.274, 4.355], [4.274, -4.274, 4.355], [4.274, 4.274, -4.355]],
  "species": ["Ce", "Ce", "Ce", "Ce", "Ce", "Ce", "Ce", "Ce", "Fe", "Rh", "Rh", "Rh", "Rh", "Rh"],
  "fractional_positions": [[0.255, 0.519, 0.148], [0.371, 0.107, 0.852], [0.376, 0.122, 0.366], [0.481, 0.629, 0.736], [0.756, 0.010, 0.634], [0.878, 0.244, 0.254], [0.893, 0.745, 0.264], [0.990, 0.624, 0.746], [0.250, 0.750, 0.500], [0.000, 0.000, 0.000], [0.126, 0.256, 0.636], [0.510, 0.874, 0.129], [0.620, 0.490, 0.364], [0.744, 0.380, 0.871]]
}

Entry 4:
{
  "formula": "CeZrFeRh",
  "functional": "GGA-PBE",
  "state": "relaxed",
  "sg": "F-43m, No. 216",
  "delta_e_f_mev_per_atom": -269,
  "lattice_angstrom": [[0.000, 3.347, 3.347], [3.347, 0.000, 3.347], [3.347, 3.347, 0.000]],
  "species": ["Ce", "Zr", "Fe", "Rh"],
  "fractional_positions": [[0.000, 0.000, 0.000], [0.500, 0.500, 0.500], [0.750, 0.750, 0.750], [0.250, 0.250, 0.250]]
}

Entry 5:
{
  "formula": "Ce2FeRu",
  "functional": "GGA-PBE",
  "state": "relaxed",
  "sg": "P4/mmm, No. 123",
  "relative_energy_mev_per_atom": 0,
  "delta_e_f_mev_per_atom": -84,
  "lattice_angstrom": [[3.384, 0.000, 0.000], [0.000, 3.384, 0.000], [0.000, 0.000, 6.913]],
  "species": ["Ce", "Ce", "Fe", "Ru"],
  "fractional_positions": [[0.000, 0.000, 0.242], [0.000, 0.000, 0.758], [0.500, 0.500, 0.000], [0.500, 0.500, 0.500]]
}

Entry 6:
{
  "formula": "Ce4FeRu",
  "functional": "GGA-PBE",
  "state": "relaxed",
  "sg": "I4_1md, No. 109",
  "delta_e_f_mev_per_atom": -35,
  "lattice_angstrom": [[-4.476, 4.476, 4.064], [4.476, -4.476, 4.064], [4.476, 4.476, -4.064]],
  "species": ["Ce", "Ce", "Ce", "Ce", "Ce", "Ce", "Ce", "Ce", "Fe", "Fe", "Ru", "Ru"],
  "fractional_positions": [[0.172, 0.477, 0.695], [0.227, 0.032, 0.805], [0.227, 0.422, 0.195], [0.304, 0.000, 0.304], [0.696, 0.000, 0.696], [0.750, 0.554, 0.804], [0.750, 0.946, 0.196], [0.782, 0.477, 0.305], [0.739, 0.239, 0.500], [0.989, 0.989, 0.000], [0.240, 0.740, 0.500], [0.490, 0.490, 0.000]]
}

Entry 7:
{
  "formula": "CeFe4Ru",
  "functional": "GGA-PBE",
  "state": "relaxed",
  "sg": "F-43m, No. 216",
  "delta_e_f_mev_per_atom": 86,
  "lattice_angstrom": [[0.000, 3.516, 3.516], [3.516, 0.000, 3.516], [3.516, 3.516, 0.000]],
  "species": ["Ce", "Fe", "Fe", "Fe", "Fe", "Ru"],
  "fractional_positions": [[0.000, 0.000, 0.000], [0.127, 0.624, 0.624], [0.624, 0.127, 0.624], [0.624, 0.624, 0.127], [0.624, 0.624, 0.624], [0.250, 0.250, 0.250]]
}

Entry 8:
{
  "formula": "Ce2FeRu3",
  "functional": "GGA-PBE",
  "state": "relaxed",
  "sg": "R-3m, No. 166",
  "relative_energy_mev_per_atom": 0,
  "delta_e_f_mev_per_atom": -283,
  "lattice_angstrom": [[2.780, 1.605, 3.937], [-2.780, 1.605, 3.937], [0.000, -3.211, 3.937]],
  "species": ["Ce", "Ce", "Fe", "Ru", "Ru", "Ru"],
  "fractional_positions": [[0.129, 0.129, 0.129], [0.871, 0.871, 0.871], [0.500, 0.500, 0.500], [0.000, 0.500, 0.500], [0.500, 0.000, 0.500], [0.500, 0.500, 0.000]]
}

Entry 9:
{
  "formula": "Ce12FeRu6",
  "functional": "GGA-PBE",
  "state": "relaxed",
  "sg": "R-3, No. 148",
  "delta_e_f_mev_per_atom": -161,
  "lattice_angstrom": [[6.079, 3.509, 3.857], [-6.079, 3.509, 3.857], [0.000, -7.019, 3.857]],
  "species": ["Ce", "Ce", "Ce", "Ce", "Ce", "Ce", "Ce", "Ce", "Ce", "Ce", "Ce", "Ce", "Fe", "Ru", "Ru", "Ru", "Ru", "Ru", "Ru"],
  "fractional_positions": [[0.038, 0.905, 0.685], [0.095, 0.315, 0.962], [0.190, 0.579, 0.408], [0.315, 0.962, 0.095], [0.408, 0.190, 0.579], [0.421, 0.592, 0.810], [0.579, 0.408, 0.190], [0.592, 0.810, 0.421], [0.685, 0.038, 0.905], [0.810, 0.421, 0.592], [0.905, 0.685, 0.038], [0.962, 0.095, 0.315], [0.000, 0.000, 0.000], [0.119, 0.288, 0.604], [0.288, 0.604, 0.119], [0.396, 0.881, 0.712], [0.604, 0.119, 0.288], [0.712, 0.396, 0.881], [0.881, 0.712, 0.396]]
}

Entry 10:
{
  "formula": "Ce2FeRu3",
  "functional": "GGA-PBE",
  "state": "relaxed",
  "sg": "P6_3/mmc, No. 194",
  "relative_energy_mev_per_atom": 45,
  "delta_e_f_mev_per_atom": -237,
  "lattice_angstrom": [[5.485, 0.000, 0.000], [-2.742, 4.750, 0.000], [0.000, 0.000, 8.077]],
  "species": ["Ce", "Ce", "Ce", "Ce", "Fe", "Fe", "Ru", "Ru", "Ru", "Ru", "Ru", "Ru"],
  "fractional_positions": [[0.333, 0.667, 0.070], [0.333, 0.667, 0.430], [0.667, 0.333, 0.570], [0.667, 0.333, 0.930], [0.000, 0.000, 0.000], [0.000, 0.000, 0.500], [0.167, 0.335, 0.750], [0.167, 0.833, 0.750], [0.335, 0.167, 0.250], [0.665, 0.833, 0.750], [0.833, 0.167, 0.250], [0.833, 0.665, 0.250]]
}

Entry 11:
{
  "formula": "Ce2FeRu",
  "functional": "GGA-PBE",
  "state": "relaxed",
  "sg": "R-3m, No. 166",
  "relative_energy_mev_per_atom": 444,
  "delta_e_f_mev_per_atom": 361,
  "lattice_angstrom": [[1.532, 0.885, 9.410], [-1.532, 0.885, 9.410], [0.000, -1.770, 9.410]],
  "species": ["Ce", "Ce", "Fe", "Ru"],
  "fractional_positions": [[0.088, 0.088, 0.088], [0.912, 0.912, 0.912], [0.500, 0.500, 0.500], [0.000, 0.000, 0.000]]
}

Entry 12:
{
  "formula": "CeScFeRu",
  "functional": "GGA-PBE",
  "state": "relaxed",
  "sg": "F-43m, No. 216",
  "delta_e_f_mev_per_atom": -210,
  "lattice_angstrom": [[0.000, 3.290, 3.290], [3.290, 0.000, 3.290], [3.290, 3.290, 0.000]],
  "species": ["Ce", "Sc", "Fe", "Ru"],
  "fractional_positions": [[0.000, 0.000, 0.000], [0.500, 0.500, 0.500], [0.750, 0.750, 0.750], [0.250, 0.250, 0.250]]
}

Entry 13:
{
  "formula": "CeFeSi2Ru",
  "functional": "GGA-PBE",
  "state": "relaxed",
  "sg": "I-4m2, No. 119",
  "formation_energy_uncorrected_ev_per_fu": -3.7,
  "lattice_angstrom": [[-2.052, 2.052, 4.828], [2.052, -2.052, 4.828], [2.052, 2.052, -4.828]],
  "species": ["Ce", "Fe", "Si", "Si", "Ru"],
  "fractional_positions": [[0.000, 0.000, 0.000], [0.750, 0.250, 0.500], [0.367, 0.367, 0.000], [0.633, 0.633, 0.000], [0.250, 0.750, 0.500]]
}

Entry 14:
{
  "formula": "Ce6FeSn2Ru",
  "functional": "GGA-PBE",
  "state": "relaxed",
  "sg": "I4/mmm, No. 139",
  "delta_e_f_mev_per_atom": -346,
  "lattice_angstrom": [[-3.684, 3.684, 5.131], [3.684, -3.684, 5.131], [3.684, 3.684, -5.131]],
  "species": ["Ce", "Ce", "Ce", "Ce", "Ce", "Ce", "Fe", "Sn", "Sn", "Ru"],
  "fractional_positions": [[0.239, 0.239, 0.000], [0.246, 0.246, 0.492], [0.246, 0.754, 0.000], [0.754, 0.246, 0.000], [0.754, 0.754, 0.508], [0.761, 0.761, 0.000], [0.000, 0.000, 0.000], [0.250, 0.750, 0.500], [0.750, 0.250, 0.500], [0.500, 0.500, 0.000]]
}

Entry 15:
{
  "formula": "TbCeFeRu",
  "functional": "GGA-PBE",
  "state": "relaxed",
  "sg": "F-43m, No. 216",
  "delta_e_f_mev_per_atom": -84,
  "lattice_angstrom": [[0.000, 3.423, 3.423], [3.423, 0.000, 3.423], [3.423, 3.423, 0.000]],
  "species": ["Tb", "Ce", "Fe", "Ru"],
  "fractional_positions": [[0.000, 0.000, 0.000], [0.500, 0.500, 0.500], [0.250, 0.250, 0.250], [0.750, 0.750, 0.750]]
}

Entry 16:
{
  "formula": "CeYFeRu",
  "functional": "GGA-PBE",
  "state": "relaxed",
  "sg": "F-43m, No. 216",
  "delta_e_f_mev_per_atom": -85,
  "lattice_angstrom": [[0.000, 3.421, 3.421], [3.421, 0.000, 3.421], [3.421, 3.421, 0.000]],
  "species": ["Ce", "Y", "Fe", "Ru"],
  "fractional_positions": [[0.000, 0.000, 0.000], [0.500, 0.500, 0.500], [0.750, 0.750, 0.750], [0.250, 0.250, 0.250]]
}

Entry 17:
{
  "formula": "CeZrFeRu",
  "functional": "GGA-PBE",
  "state": "relaxed",
  "sg": "F-43m, No. 216",
  "delta_e_f_mev_per_atom": -162,
  "lattice_angstrom": [[0.000, 3.331, 3.331], [3.331, 0.000, 3.331], [3.331, 3.331, 0.000]],
  "species": ["Ce", "Zr", "Fe", "Ru"],
  "fractional_positions": [[0.000, 0.000, 0.000], [0.500, 0.500, 0.500], [0.750, 0.750, 0.750], [0.250, 0.250, 0.250]]
}

Entry 18:
{
  "formula": "Ce3Fe5S12",
  "functional": "GGA-PBE",
  "state": "relaxed",
  "sg": "Ia-3d, No. 230",
  "formation_energy_uncorrected_ev_per_fu": -19.2,
  "lattice_angstrom": [[-7.297, 7.297, 7.297], [7.297, -7.297, 7.297], [7.297, 7.297, -7.297]],
  "species": ["Ce", "Ce", "Ce", "Ce", "Ce", "Ce", "Ce", "Ce", "Ce", "Ce", "Ce", "Ce", "Fe", "Fe", "Fe", "Fe", "Fe", "Fe", "Fe", "Fe", "Fe", "Fe", "Fe", "Fe", "Fe", "Fe", "Fe", "Fe", "Fe", "Fe", "Fe", "Fe", "S", "S", "S", "S", "S", "S", "S", "S", "S", "S", "S", "S", "S", "S", "S", "S", "S", "S", "S", "S", "S", "S", "S", "S", "S", "S", "S", "S", "S", "S", "S", "S", "S", "S", "S", "S", "S", "S", "S", "S", "S", "S", "S", "S", "S", "S", "S", "S"],
  "fractional_positions": [[0.125, 0.250, 0.375], [0.125, 0.375, 0.750], [0.250, 0.375, 0.125], [0.250, 0.875, 0.625], [0.375, 0.125, 0.250], [0.375, 0.750, 0.125], [0.625, 0.250, 0.875], [0.625, 0.875, 0.750], [0.750, 0.125, 0.375], [0.750, 0.625, 0.875], [0.875, 0.625, 0.250], [0.875, 0.750, 0.625], [0.000, 0.000, 0.000], [0.000, 0.000, 0.500], [0.000, 0.500, 0.000], [0.000, 0.500, 0.500], [0.125, 0.750, 0.875], [0.125, 0.875, 0.250], [0.250, 0.125, 0.875], [0.250, 0.625, 0.375], [0.375, 0.250, 0.625], [0.375, 0.625, 0.750], [0.500, 0.000, 0.000], [0.500, 0.000, 0.500], [0.500, 0.500, 0.000], [0.500, 0.500, 0.500], [0.625, 0.375, 0.250], [0.625, 0.750, 0.375], [0.750, 0.375, 0.625], [0.750, 0.875, 0.125], [0.875, 0.125, 0.750], [0.875, 0.250, 0.125], [0.025, 0.200, 0.114], [0.025, 0.325, 0.910], [0.085, 0.700, 0.675], [0.085, 0.886, 0.410], [0.090, 0.614, 0.415], [0.090, 0.975, 0.675], [0.114, 0.025, 0.200], [0.114, 0.590, 0.915], [0.175, 0.200, 0.585], [0.175, 0.475, 0.590], [0.200, 0.114, 0.025], [0.200, 0.585, 0.175], [0.300, 0.325, 0.915], [0.300, 0.475, 0.386], [0.325, 0.910, 0.025], [0.325, 0.915, 0.300], [0.386, 0.300, 0.475], [0.386, 0.585, 0.910], [0.410, 0.085, 0.886], [0.410, 0.825, 0.525], [0.415, 0.090, 0.614], [0.415, 0.825, 0.800], [0.475, 0.386, 0.300], [0.475, 0.590, 0.175], [0.525, 0.410, 0.825], [0.525, 0.614, 0.700], [0.585, 0.175, 0.200], [0.585, 0.910, 0.386], [0.590, 0.175, 0.475], [0.590, 0.915, 0.114], [0.614, 0.415, 0.090], [0.614, 0.700, 0.525], [0.675, 0.085, 0.700], [0.675, 0.090, 0.975], [0.700, 0.525, 0.614], [0.700, 0.675, 0.085], [0.800, 0.415, 0.825], [0.800, 0.886, 0.975], [0.825, 0.525, 0.410], [0.825, 0.800, 0.415], [0.886, 0.410, 0.085], [0.886, 0.975, 0.800], [0.910, 0.025, 0.325], [0.910, 0.386, 0.585], [0.915, 0.114, 0.590], [0.915, 0.300, 0.325], [0.975, 0.675, 0.090], [0.975, 0.800, 0.886]]
}

Entry 19:
{
  "formula": "Ce2Tl3FeS6",
  "functional": "GGA-PBE",
  "state": "relaxed",
  "sg": "C2/m, No. 12",
  "formation_energy_uncorrected_ev_per_fu": -12.0,
  "lattice_angstrom": [[3.460, -5.973, 0.000], [3.460, 5.973, 0.000], [-2.316, 0.000, 7.488]],
  "species": ["Ce", "Ce", "Tl", "Tl", "Tl", "Fe", "S", "S", "S", "S", "S", "S"],
  "fractional_positions": [[0.166, 0.834, 0.000], [0.834, 0.166, 0.000], [0.000, 0.000, 0.500], [0.330, 0.670, 0.500], [0.670, 0.330, 0.500], [0.500, 0.500, 0.000], [0.124, 0.436, 0.808], [0.250, 0.250, 0.200], [0.436, 0.124, 0.808], [0.564, 0.876, 0.192], [0.750, 0.750, 0.800], [0.876, 0.564, 0.192]]
}

Entry 20:
{
  "formula": "CeUFeS4",
  "functional": "GGA-PBE",
  "state": "relaxed",
  "sg": "P2_1/m, No. 11",
  "formation_energy_uncorrected_ev_per_fu": -9.3,
  "lattice_angstrom": [[6.392, 0.000, 0.000], [0.000, 5.779, 0.000], [-2.201, 0.000, 7.350]],
  "species": ["Ce", "Ce", "U", "U", "Fe", "Fe", "S", "S", "S", "S", "S", "S", "S", "S"],
  "fractional_positions": [[0.245, 0.250, 0.435], [0.755, 0.750, 0.565], [0.256, 0.250, 0.944], [0.744, 0.750, 0.056], [0.261, 0.750, 0.180], [0.739, 0.250, 0.820], [0.067, 0.750, 0.377], [0.074, 0.750, 0.896], [0.481, 0.510, 0.751], [0.481, 0.990, 0.751], [0.519, 0.010, 0.249], [0.519, 0.490, 0.249], [0.926, 0.250, 0.104], [0.933, 0.250, 0.623]]
}

Entry 21:
{
  "formula": "Ce5FeSb2",
  "functional": "GGA-PBE",
  "state": "relaxed",
  "sg": "I4mm, No. 107",
  "formation_energy_uncorrected_ev_per_fu": -3.1,
  "lattice_angstrom": [[-3.366, 3.366, 4.509], [3.366, -3.366, 4.509], [3.366, 3.366, -4.509]],
  "species": ["Ce", "Ce", "Ce", "Ce", "Ce", "Fe", "Sb", "Sb"],
  "fractional_positions": [[0.000, 0.000, 0.000], [0.484, 0.484, 0.522], [0.484, 0.962, 0.000], [0.962, 0.484, 0.000], [0.962, 0.962, 0.478], [0.351, 0.351, 0.000], [0.471, 0.971, 0.500], [0.971, 0.471, 0.500]]
}

Calculated total moment in order - 0.00 3.26 2.21 0.51 0.04 3.65 9.81 2.10 5.46 3.64 1.27 0.29 0.38 4.17 1.43 1.42 0.57 55.52 4.84 1.25 2.63 μB per cell
Calculated energy in order - -26.9 -30.7 -100.3 -31.4 -29.9 -41.7 -48.5 -49.9 -138.4 -49.6 -28.2 -30.8 -38.3 -64.8 -28.6 -30.5 -32.9 -128.8 -64.2 -51.5 -49.5 eV per formula unit